Record 1
Density functional theory data (PBE-GGA) for ErTm2Mg3Al2Cd after structural relaxation.

It has space group Amm2 (No. 38), with a = 4.5041 Å, b = 12.7599 Å, c = 7.3474 Å, α = 90.00°, β = 90.00° and γ = 90.00°. Symmetry generates all atoms from Er at (0.0000, 0.0000, 0.0000), Tm at (0.0000, 0.2155, 0.3533), Mg at (0.5000, 0.0000, 0.3225), Mg at (0.5000, 0.1232, 0.6918), Al at (0.5000, 0.1670, 0.0688) and Cd at (0.0000, 0.0000, 0.5679).

The value obtained for the total energy is -3.242 eV/atom.

Record 2
Density functional theory data (PBE-GGA) for Y2ErMg3Al2Cd after structural relaxation.

It has space group Amm2 (No. 38), with a = 4.5222 Å, b = 12.8080 Å, c = 7.4340 Å, α = 90.00°, β = 90.00° and γ = 90.00°. Symmetry generates all atoms from Y at (0.0000, 0.2151, 0.0000), Er at (0.0000, 0.0000, 0.6451), Mg at (0.5000, 0.0000, 0.9689), Mg at (0.5000, 0.1228, 0.3386), Al at (0.5000, 0.1657, 0.7150) and Cd at (0.0000, 0.0000, 0.2172).

The value obtained for the total energy is -3.717 eV/atom.

Record 3
Density functional theory data (PBE-GGA) for YEr2Mg3Al2Cd after structural relaxation.

It has space group Amm2 (No. 38), with a = 4.5168 Å, b = 12.8401 Å, c = 7.3745 Å, α = 90.00°, β = 90.00° and γ = 90.00°. Symmetry generates all atoms from Y at (0.0000, 0.0000, 0.0000), Er at (0.0000, 0.2152, 0.6457), Mg at (0.5000, 0.0000, 0.6764), Mg at (0.5000, 0.1233, 0.3080), Al at (0.5000, 0.1676, 0.9304) and Cd at (0.0000, 0.0000, 0.4326).

The value obtained for the total energy is -3.493 eV/atom.

Record 4
Density functional theory data (PBE-GGA) for ErTm2Al2Cd4 after structural relaxation.

It has space group Amm2 (No. 38), with a = 4.5285 Å, b = 12.5396 Å, c = 7.2290 Å, α = 90.00°, β = 90.00° and γ = 90.00°. Symmetry generates all atoms from Er at (0.0000, 0.0000, 0.0000), Tm at (0.0000, 0.2159, 0.3526), Al at (0.5000, 0.1669, 0.0684), Cd at (0.0000, 0.0000, 0.5674), Cd at (0.5000, 0.0000, 0.3167) and Cd at (0.5000, 0.1257, 0.6939).

The value obtained for the total energy is -3.091 eV/atom.

Record 5
Density functional theory data (PBE-GGA) for YEr2Al2Cd4 after structural relaxation.

It has space group Amm2 (No. 38), with a = 4.5406 Å, b = 12.6190 Å, c = 7.2610 Å, α = 90.00°, β = 90.00° and γ = 90.00°. Symmetry generates all atoms from Y at (0.0000, 0.0000, 0.0000), Er at (0.0000, 0.2155, 0.6459), Al at (0.5000, 0.1674, 0.9305), Cd at (0.0000, 0.0000, 0.4327), Cd at (0.5000, 0.0000, 0.6823) and Cd at (0.5000, 0.1259, 0.3053).

The value obtained for the total energy is -3.344 eV/atom.

Record 6
Density functional theory data (PBE-GGA) for YEr2Al2Zn3Cd after structural relaxation.

It has space group Amm2 (No. 38), with a = 4.4656 Å, b = 12.1069 Å, c = 6.9501 Å, α = 90.00°, β = 90.00° and γ = 90.00°. Symmetry generates all atoms from Y at (0.0000, 0.0000, 0.0000), Er at (0.0000, 0.2174, 0.6501), Al at (0.5000, 0.1673, 0.9330), Zn at (0.5000, 0.0000, 0.6797), Zn at (0.5000, 0.1234, 0.3111) and Cd at (0.0000, 0.0000, 0.4370).

The value obtained for the total energy is -3.471 eV/atom.

Record 7
Density functional theory data (PBE-GGA) for K2AlCdF6 after structural relaxation.

It has space group Pnma (No. 62), with a = 12.2822 Å, b = 5.7022 Å, c = 9.2008 Å, α = 90.00°, β = 90.00° and γ = 90.00°. Symmetry generates all atoms from K at (0.0661, 0.2500, 0.1364), K at (0.2103, 0.2500, 0.7812), Al at (0.0008, 0.7500, 0.4891), Cd at (0.2036, 0.7500, 0.9854), F at (0.0658, 0.5146, 0.5990), F at (0.0911, 0.0070, 0.9099), F at (0.0980, 0.7500, 0.3527) and F at (0.1169, 0.2500, 0.3947).

The value obtained for the total energy is -4.354 eV/atom.

Record 8
Density functional theory data (PBE-GGA) for KAlCdF6 after structural relaxation.

It has space group P2_1/c (No. 14), with a = 7.0082 Å, b = 9.6233 Å, c = 6.6844 Å, α = 90.00°, β = 90.89° and γ = 90.00°. Symmetry generates all atoms from K at (0.2453, 0.1279, 0.4509), Al at (0.0000, 0.0000, 0.0000), Al at (0.5000, 0.0000, 0.0000), Cd at (0.2520, 0.7264, 0.8030), F at (0.0185, 0.5683, 0.7487), F at (0.0440, 0.1714, 0.0965), F at (0.2450, 0.6196, 0.0814), F at (0.2499, 0.5341, 0.4658), F at (0.4568, 0.1733, 0.0905) and F at (0.4822, 0.5648, 0.7514).

The value obtained for the total energy is -4.801 eV/atom.